[1]
The following is a DFT calculation (PBE-GGA) of a relaxed structure of SbTe2POs.

- Energy relative to the elements, uncorrected: 1.458 eV/atom

Geometry as POSCAR:
```
SbTe2POs
1.0
5.047 0.000 0.000
0.000 5.047 0.000
0.000 0.000 4.882
P Sb Os Te
1 1 1 2
Direct
0.000 0.000 0.000
0.000 0.000 0.500
0.500 0.500 0.500
0.000 0.500 0.000
0.500 0.000 0.000
```



[2]
The following is a DFT calculation (PBE-GGA) of a relaxed structure of Th4Sb2POs.

- Energy relative to the elements, uncorrected: -0.897 eV/atom

Geometry as POSCAR:
```
Th4Sb2POs
1.0
-0.841 -2.803 3.085
5.264 -4.564 -2.713
3.235 4.709 5.161
Th Sb P Os
4 2 1 1
Direct
0.500 0.246 0.218
0.000 0.727 0.211
0.500 0.754 0.782
0.000 0.273 0.789
0.000 0.500 0.500
0.500 0.000 0.500
0.000 0.000 0.000
0.500 0.500 0.000
```



[3]
The following is a DFT calculation (PBE-GGA) of a relaxed structure of V2SbPOs.

- Energy relative to the elements, uncorrected: 2.010 eV/atom

Geometry as POSCAR:
```
V2SbPOs
1.0
4.801 0.000 0.000
0.000 4.818 0.000
0.000 0.000 4.801
V Os P Sb
2 1 1 1
Direct
0.500 0.000 0.000
0.000 0.000 0.500
0.000 0.500 0.000
0.500 0.500 0.500
0.000 0.000 0.000
```



[4]
The following is a DFT calculation (PBE-GGA) of a relaxed structure of Sc2POs.

Geometry as POSCAR:
```
Sc2POs
1.0
-2.267 -1.939 1.525
2.345 -1.051 2.149
-1.354 4.460 3.657
Os P Sc
1 1 2
Direct
0.500 0.500 0.000
0.500 0.500 0.500
0.000 0.000 0.743
0.000 0.000 0.257
```



Sequential energy output: -3.951; -7.717; -5.789; -8.072 eV per atom
Sequential V output: 124.4; 231.8; 111.0; 66.5 Å³ per cell